This record from Alexandria via LeMat-Bulk describes an optimized crystal structure of NbSe2BrF. The functional is PBE.

Cell and atoms, written as CIF:
```
data_NbSe2BrF
_chemical_formula_sum 'Nb1 Se2 Br1 F1'
_cell_length_a 4.375
_cell_length_b 4.375
_cell_length_c 5.427
_cell_angle_alpha 90.00
_cell_angle_beta 90.00
_cell_angle_gamma 90.00
_space_group_name_H-M_alt 'P 4/m m m'
_space_group_IT_number 123
_space_group_name_Hall '-P 4 2'
loop_
_atom_site_label
_atom_site_type_symbol
_atom_site_fract_x
_atom_site_fract_y
_atom_site_fract_z
Nb1 Nb 0.000 0.000 0.000
Se1 Se 0.000 0.500 0.500
Br1 Br 0.500 0.500 0.000
F1 F 0.500 0.500 0.500
```

Calculated values
energy above the most stable polymorph in this dataset: 750 meV per atom
total DFT energy (no corrections): -3.721 eV/atom

---

This record from Alexandria via LeMat-Bulk describes an optimized crystal structure of NbSe2BrF. The functional is PBE.

Cell and atoms, written as CIF:
```
data_NbSe2BrF
_chemical_formula_sum 'Nb1 Se2 Br1 F1'
_cell_length_a 4.977
_cell_length_b 4.977
_cell_length_c 5.151
_cell_angle_alpha 90.00
_cell_angle_beta 90.00
_cell_angle_gamma 90.00
_space_group_name_H-M_alt 'P 4/m m m'
_space_group_IT_number 123
_space_group_name_Hall '-P 4 2'
loop_
_atom_site_label
_atom_site_type_symbol
_atom_site_fract_x
_atom_site_fract_y
_atom_site_fract_z
Nb1 Nb 0.000 0.000 0.000
Se1 Se 0.000 0.500 0.000
Br1 Br 0.000 0.000 0.500
F1 F 0.500 0.500 0.500
```

Calculated values
energy above the most stable polymorph in this dataset: 0 meV per atom
total DFT energy (no corrections): -4.471 eV/atom

---

This record from Alexandria via LeMat-Bulk describes an optimized crystal structure of NbTl3Br2F6. The functional is PBE.

Cell and atoms, written as CIF:
```
data_NbTl3Br2F6
_chemical_formula_sum 'Nb2 Tl6 Br4 F12'
_cell_length_a 16.546
_cell_length_b 7.981
_cell_length_c 5.037
_cell_angle_alpha 90.00
_cell_angle_beta 93.28
_cell_angle_gamma 90.00
_space_group_name_H-M_alt 'C 1 2/m 1'
_space_group_IT_number 12
loop_
_space_group_symop_operation_xyz
'x,y,z'
'-x,-y,-z'
'-x,y,-z'
'x,-y,z'
'x+1/2,y+1/2,z'
'-x+1/2,-y+1/2,-z'
'-x+1/2,y+1/2,-z'
'x+1/2,-y+1/2,z'
loop_
_atom_site_label
_atom_site_type_symbol
_atom_site_fract_x
_atom_site_fract_y
_atom_site_fract_z
Nb1 Nb 0.000 0.000 0.000
Tl1 Tl 0.000 0.500 0.500
Tl2 Tl 0.250 0.250 0.000
Br1 Br 0.195 0.500 0.497
F1 F 0.036 0.175 0.246
F2 F 0.108 0.000 0.863
```

Calculated values
total DFT energy (no corrections): -4.782 eV/atom

---

This record from Alexandria via LeMat-Bulk describes an optimized crystal structure of NbTl2Br2F4. The functional is PBE.

Cell and atoms, written as CIF:
```
data_NbTl2Br2F4
_chemical_formula_sum 'Nb2 Tl4 Br4 F8'
_cell_length_a 12.984
_cell_length_b 6.372
_cell_length_c 5.383
_cell_angle_alpha 90.00
_cell_angle_beta 93.13
_cell_angle_gamma 90.00
_space_group_name_H-M_alt 'C 1 2/m 1'
_space_group_IT_number 12
loop_
_space_group_symop_operation_xyz
'x,y,z'
'-x,-y,-z'
'-x,y,-z'
'x,-y,z'
'x+1/2,y+1/2,z'
'-x+1/2,-y+1/2,-z'
'-x+1/2,y+1/2,-z'
'x+1/2,-y+1/2,z'
loop_
_atom_site_label
_atom_site_type_symbol
_atom_site_fract_x
_atom_site_fract_y
_atom_site_fract_z
Nb1 Nb 0.000 0.000 0.000
Tl1 Tl 0.136 0.500 0.639
Br1 Br 0.189 0.000 0.837
F1 F 0.039 0.232 0.234
```

Calculated values
total DFT energy (no corrections): -4.802 eV/atom

---

This record from Alexandria via LeMat-Bulk describes an optimized crystal structure of NbTlBr2F. The functional is PBE.

Cell and atoms, written as CIF:
```
data_NbTlBr2F
_chemical_formula_sum 'Nb1 Tl1 Br2 F1'
_cell_length_a 4.956
_cell_length_b 4.956
_cell_length_c 5.939
_cell_angle_alpha 90.00
_cell_angle_beta 90.00
_cell_angle_gamma 90.00
_space_group_name_H-M_alt 'P 4/m m m'
_space_group_IT_number 123
_space_group_name_Hall '-P 4 2'
loop_
_atom_site_label
_atom_site_type_symbol
_atom_site_fract_x
_atom_site_fract_y
_atom_site_fract_z
Nb1 Nb 0.000 0.000 0.000
Tl1 Tl 0.000 0.000 0.500
Br1 Br 0.000 0.500 0.000
F1 F 0.500 0.500 0.500
```

Calculated values
total DFT energy (no corrections): -4.006 eV/atom

---

This record from Alexandria via LeMat-Bulk describes an optimized crystal structure of Nd2Br5F. The functional is PBE.

Cell and atoms, written as CIF:
```
data_Nd2Br5F
_chemical_formula_sum 'Nd8 Br20 F4'
_cell_length_a 3.685
_cell_length_b 14.905
_cell_length_c 20.843
_cell_angle_alpha 90.00
_cell_angle_beta 90.00
_cell_angle_gamma 90.00
_space_group_name_H-M_alt 'C m c m'
_space_group_IT_number 63
_space_group_name_Hall '-C 2c 2'
loop_
_atom_site_label
_atom_site_type_symbol
_atom_site_fract_x
_atom_site_fract_y
_atom_site_fract_z
Nd1 Nd 0.000 0.248 0.159
Br1 Br 0.000 0.114 0.616
Br2 Br 0.000 0.350 0.578
Br3 Br 0.000 0.387 0.750
F1 F 0.000 0.202 0.750
```

Calculated values
total DFT energy (no corrections): -4.454 eV/atom

---

Respective N(E_F) values: 3.6; 9.1; 0.0; 5.4; 2.8; 0.0 states/eV per cell.
Respective E_form (uncorrected) values: 396; -354; -2137; -1954; -476; -1982 meV per atom.